Run a
Density functional theory data (PBEsol) for crystalline BaCa3Sb at its relaxed geometry.

Summary:
density of states at the Fermi level = 1.27 states/eV/atom
symmetry = Pm-3m

```
data_BaCa3Sb
_cell_length_a 6.057
_cell_length_b 6.057
_cell_length_c 6.057
_cell_angle_alpha 90.00
_cell_angle_beta 90.00
_cell_angle_gamma 90.00
_space_group_name_H-M_alt 'P 1'
_space_group_IT_number 1
_space_group_name_Hall 'P 1'
loop_
_atom_site_label
_atom_site_type_symbol
_atom_site_fract_x
_atom_site_fract_y
_atom_site_fract_z
_atom_site_occupancy
Ba1 Ba 0.000 0.000 0.000 1
Ca1 Ca 0.000 0.500 0.500 1
Ca2 Ca 0.500 0.000 0.500 1
Ca3 Ca 0.500 0.500 0.000 1
Sb1 Sb 0.500 0.500 0.500 1
```

***

Run b
Density functional theory data (PBEsol) for crystalline BaCa3Sb at its relaxed geometry.

Summary:
density of states at the Fermi level = 1.57 states/eV/atom
symmetry = Pm-3m

```
data_BaCa3Sb
_cell_length_a 5.633
_cell_length_b 5.633
_cell_length_c 5.633
_cell_angle_alpha 90.00
_cell_angle_beta 90.00
_cell_angle_gamma 90.00
_space_group_name_H-M_alt 'P 1'
_space_group_IT_number 1
_space_group_name_Hall 'P 1'
loop_
_atom_site_label
_atom_site_type_symbol
_atom_site_fract_x
_atom_site_fract_y
_atom_site_fract_z
_atom_site_occupancy
Ba1 Ba 0.000 0.000 0.000 1
Ca1 Ca 0.000 0.000 0.500 1
Ca2 Ca 0.000 0.500 0.000 1
Ca3 Ca 0.500 0.000 0.000 1
Sb1 Sb 0.500 0.500 0.500 1
```

***

Q: What are the energies relative to the best structure? A: run a 0.0; run b 111.8, in kJ/mol of atoms.